Record 1
Entry from the Alexandria database: crystalline ErPu at its relaxed geometry (PBE).

density = 11.9 g/cm³
energy relative to the elements = 0.170 eV per atom
symmetry = Pmmn
uncorrected energy = -0.6819 Ry per atom
M_tot = 12.33 μB/cell

Geometry as POSCAR:
```
ErPu
1.0
3.4273 0.0000 0.0000
0.0000 4.8721 0.0000
0.0000 0.0000 6.8930
Er Pu
2 2
Direct
0.2500 0.2500 0.1252 Er
0.7500 0.7500 0.8748 Er
0.2500 0.2500 0.6192 Pu
0.7500 0.7500 0.3808 Pu
```

Record 2
Entry from the Alexandria database: crystalline Y3In2Rh at its relaxed geometry (PBE).

density = 6.5 g/cm³
energy relative to the elements = -0.572 eV per atom
symmetry = Pnma
uncorrected energy = -0.4367 Ry per atom
M_tot = 0.00 μB/cell

Geometry as POSCAR:
```
Y3In2Rh
1.0
13.0581 0.0000 0.0000
0.0000 4.6145 0.0000
0.0000 0.0000 10.1646
Y In Rh
12 8 4
Direct
0.0647 0.2500 0.0900 Y
0.1095 0.7500 0.5458 Y
0.2267 0.7500 0.2459 Y
0.2733 0.2500 0.7459 Y
0.3905 0.2500 0.0458 Y
0.4353 0.7500 0.5900 Y
0.5647 0.2500 0.4100 Y
0.6095 0.7500 0.9542 Y
0.7267 0.7500 0.2541 Y
0.7733 0.2500 0.7541 Y
0.8905 0.2500 0.4542 Y
0.9353 0.7500 0.9100 Y
0.0237 0.2500 0.7320 In
0.1891 0.7500 0.9338 In
0.3109 0.2500 0.4338 In
0.4763 0.7500 0.2320 In
0.5237 0.2500 0.7680 In
0.6891 0.7500 0.5662 In
0.8109 0.2500 0.0662 In
0.9763 0.7500 0.2680 In
0.1094 0.2500 0.3542 Rh
0.3906 0.7500 0.8542 Rh
0.6094 0.2500 0.1458 Rh
0.8906 0.7500 0.6458 Rh
```

Record 3
Entry from the Alexandria database: crystalline MgCuAg2Sb at its relaxed geometry (PBE).

density = 6.2 g/cm³
symmetry = P4/mmm
uncorrected energy = -0.1802 Ry per atom
uncorrected formation energy = 3.26 eV/f.u.
M_tot = 0.00 μB/cell

Geometry as POSCAR:
```
MgCuAg2Sb
1.0
4.9265 0.0000 0.0000
0.0000 4.9265 0.0000
0.0000 0.0000 4.6871
Mg Cu Ag Sb
1 1 2 1
Direct
0.0000 0.0000 0.0000 Mg
0.0000 0.0000 0.5000 Cu
0.0000 0.5000 0.0000 Ag
0.5000 0.0000 0.0000 Ag
0.5000 0.5000 0.5000 Sb
```

Record 4
Entry from the Alexandria database: crystalline GaCo2GeSe at its relaxed geometry (PBE).

density = 5.7 g/cm³
symmetry = P4/mmm
uncorrected energy = -0.3201 Ry per atom
uncorrected formation energy = 3.56 eV/f.u.
M_tot = 2.17 μB/cell

Geometry as POSCAR:
```
GaCo2GeSe
1.0
4.3263 0.0000 0.0000
0.0000 4.3263 0.0000
0.0000 0.0000 5.2858
Ga Co Ge Se
1 2 1 1
Direct
0.0000 0.0000 0.0000 Ga
0.0000 0.5000 0.5000 Co
0.5000 0.0000 0.5000 Co
0.5000 0.5000 0.0000 Ge
0.0000 0.0000 0.5000 Se
```

Record 5
Entry from the Alexandria database: crystalline LaSb2Rh at its relaxed geometry (PBE).

density = 7.9 g/cm³
symmetry = Cmmm
uncorrected energy = -0.4386 Ry per atom
uncorrected formation energy = -3.34 eV/f.u.
M_tot = 0.00 μB/cell

Geometry as POSCAR:
```
LaSb2Rh
1.0
2.9478 -3.9767 0.0000
2.9478 3.9767 0.0000
0.0000 0.0000 4.3658
La Sb Rh
1 2 1
Direct
0.0000 0.0000 0.0000 La
0.3045 0.6955 0.5000 Sb
0.6955 0.3045 0.5000 Sb
0.5000 0.5000 0.0000 Rh
```

Record 6
Entry from the Alexandria database: crystalline LaHgRu at its relaxed geometry (PBE).

density = 9.8 g/cm³
energy relative to the elements = 0.088 eV per atom
symmetry = P3m1
uncorrected energy = -0.3489 Ry per atom
M_tot = 0.00 μB/cell

Geometry as POSCAR:
```
LaHgRu
1.0
4.0975 0.0000 0.0000
-2.0487 3.5485 0.0000
0.0000 0.0000 5.1328
La Hg Ru
1 1 1
Direct
0.0000 0.0000 0.0000 La
0.6667 0.3333 0.5445 Hg
0.3333 0.6667 0.2671 Ru
```